A relaxed structure of LaEr2Sn, computed with PBE.

Values from the calculation:
* electronic total energy: -19.26 eV for the cell shown
* SG: P4/mmm, No. 123
* calculated volume: 30.095 Å³ per atom
* ρ: 8.17 g cm⁻³
* ΔH_f (0 K): -0.30 eV per atom
* offset from the most stable computed form: 141 meV/atom

abc: 3.7962 3.7962 8.3534
angles: 90.00 90.00 90.00
With the nearest neighbours (Å) after each atom.
Positions (direct):
Er1 0.0000 0.0000 0.7881  4 Sn 3.22, 1 Er 3.54
Sn1 0.5000 0.5000 0.0000  8 Er 3.22
La1 0.5000 0.5000 0.5000  8 Er 3.60, 4 La 3.80
Er2 0.0000 0.0000 0.2119  4 Sn 3.22, 1 Er 3.54